No. 1
A relaxed CaMg2Ni crystal. Source: Alexandria via LeMat-Bulk, functional PBE.

As for the calculated formation energy: -54 meV/atom. The calculated total energy comes out at -0.103 hartree per atom.

The space group is Immm (No. 71) and the conventional cell measures 3.2301, 5.0529 and 10.6469 Å, with angles of 90.00, 90.00 and 90.00 degrees. The inequivalent atoms are Ca at (0.0000, 0.0000, 0.0000), Mg at (0.0000, 0.5000, 0.1983) and Ni at (0.0000, 0.0000, 0.5000).

No. 2
A relaxed La4GaGe2 crystal. Source: Alexandria via LeMat-Bulk, functional PBE.

As for the calculated formation energy: -613 meV/atom. The calculated total energy comes out at -0.190 hartree per atom.

The space group is P2_1/m (No. 11) and the conventional cell measures 7.0268, 6.6633 and 8.9351 Å, with angles of 90.00, 103.78 and 90.00 degrees. The inequivalent atoms are La at (0.1484, 0.2500, 0.0812), La at (0.1781, 0.7500, 0.3454), La at (0.3240, 0.0063, 0.7406), Ga at (0.4177, 0.2500, 0.4307), Ge at (0.0612, 0.2500, 0.4066) and Ge at (0.3178, 0.7500, 0.0441).

Question: The lowest calculated total energy belongs to which entry?
Answer: La4GaGe2